No. 1
A geometry-optimized PmSm4Er3 structure, computed with GGA-PBE.

The structure in extended XYZ format:
```
8
Lattice="2.8498 -13.0246 0.0000 2.8498 13.0246 0.0000 0.0000 0.0000 3.5978" Properties=species:S:1:pos:R:3 pbc="T T T"
Pm 0.0000 0.0000 0.0000
Sm 2.8498 10.2974 1.7989
Sm 2.8498 7.1879 1.7989
Sm 2.8498 -7.1879 1.7989
Sm 2.8498 -10.2974 1.7989
Er 2.8498 3.9837 0.0000
Er 2.8498 0.0000 1.7989
Er 2.8498 -3.9837 0.0000
```

Calculated values
E_tot in eV per atom: -4.451
Total magnetization in μB per formula unit: 0.00

No. 2
A geometry-optimized Pm7SmEr12 structure, computed with GGA-PBE.

The structure in extended XYZ format:
```
20
Lattice="-5.6161 5.6161 5.6161 5.6161 -5.6161 5.6161 5.6161 5.6161 -5.6161" Properties=species:S:1:pos:R:3 pbc="T T T"
Pm 2.8080 2.8080 -2.8080
Pm 2.8080 -2.8080 2.8080
Pm 5.6161 0.0000 0.0000
Pm -2.8080 2.8080 2.8080
Pm 0.0000 5.6161 0.0000
Pm 0.0000 0.0000 5.6161
Pm 2.8080 2.8080 2.8080
Sm 0.0000 0.0000 0.0000
Er 5.6161 2.8158 -2.8158
Er 5.6161 -2.8158 2.8158
Er 2.8158 5.6161 -2.8158
Er 2.8002 2.8002 0.0000
Er 2.8002 0.0000 2.8002
Er 2.8158 -2.8158 5.6161
Er 0.0000 2.8002 2.8002
Er 5.6161 2.8158 2.8158
Er -2.8158 5.6161 2.8158
Er -2.8158 2.8158 5.6161
Er 2.8158 5.6161 2.8158
Er 2.8158 2.8158 5.6161
```

Calculated values
E_tot in eV per atom: -3.980
Total magnetization in μB per formula unit: 0.00

Which excess energy over the best structure of this formula in the dataset belongs to each record? In order, 191.4, 423.5 meV/atom.
Which energy of formation belongs to each record? In order, 1.711, 13.138 eV/f.u..